This record from Alexandria describes a relaxed structure of Ca4ScSb. The functional is PBE-GGA.

Lattice parameters (Å, degrees): 6.6365 6.6365 6.6365 60.00 60.00 60.00
With the nearest neighbours (Å) after each atom.
Element x y z (fractional)
Ca  0.1254  0.1254  0.1254  6 Ca 3.31-3.33
Ca  0.1254  0.1254  0.6238  6 Ca 3.31-3.33
Ca  0.1254  0.6238  0.1254  6 Ca 3.31-3.33
Ca  0.6238  0.1254  0.1254  6 Ca 3.31-3.33
Sc  0.5000  0.5000  0.5000  12 Ca 3.89, 4 Sb 4.06
Sb  0.7500  0.7500  0.7500  12 Ca 3.89, 4 Sc 4.06

Output
Space-group type: F-43m (216)
ΔE_f (raw) (eV per atom): 0.247